(1)
The following is a PBE-GGA calculation of a relaxed Dy8P3Se4O crystal, from the Alexandria database.

Properties
The value obtained for the volume is 22.32 A^3/atom. The energy relative to the elements, uncorrected comes out at -29.6 eV per formula unit. As for the space group: R-3m.

POSCAR file:
```
Dy8P3Se4O
1.0
3.936 2.272 6.654
-3.936 2.272 6.654
0.000 -4.545 6.654
Dy P Se O
8 3 4 1
Cartesian
0.000 0.000 4.841
-1.899 -1.096 11.433
0.000 -2.193 8.529
-1.899 1.096 8.529
1.899 -1.096 11.433
0.000 2.193 11.433
1.899 1.096 8.529
0.000 0.000 15.122
-3.936 0.000 9.981
-1.968 1.136 3.327
1.968 1.136 3.327
0.000 0.000 0.000
-1.968 -1.136 6.654
-1.968 1.136 13.308
0.000 2.272 6.654
0.000 0.000 9.981
```

---

(2)
The following is a PBE-GGA calculation of a relaxed SrDyP2O8 crystal, from the Alexandria database.

Properties
The value obtained for the volume is 15.48 A^3/atom. The energy relative to the elements, uncorrected comes out at -32.0 eV per formula unit. As for the space group: P-3.

POSCAR file:
```
SrDyP2O8
1.0
5.394 0.000 0.000
-2.697 4.671 0.000
0.000 0.000 7.375
Sr Dy P O
1 1 2 8
Cartesian
0.000 0.000 0.000
0.000 0.000 3.687
0.000 3.114 5.706
2.697 1.557 1.669
-1.269 3.839 5.199
0.007 1.653 5.199
0.000 3.114 7.253
1.435 0.821 2.176
1.262 3.850 5.199
2.697 1.557 0.121
2.690 3.018 2.176
3.966 0.832 2.176
```